VFeGe2F: relaxed, GGA+U.

Geometry as extended XYZ:
```
5
Lattice="4.8005 0.0000 0.0000 0.0000 3.9983 0.0000 0.0000 0.0000 4.8005" Properties=species:S:1:pos:R:3 pbc="T T T"
Ge 0.0000 0.0000 2.4002
Ge 2.4002 0.0000 0.0000
V 0.0000 1.9992 0.0000
F 0.0000 0.0000 0.0000
Fe 2.4002 1.9992 2.4002
```

Summary:
* calculated total energy: -4.483 eV per atom
* N(E_F): 0.60 states/eV per atom
* total moment: 6.51 μB/f.u.